Model one:
The following is a GGA-PBE calculation of a geometry-optimized Na3TiTl structure, from the Alexandria database.

Computed properties:
- DOS(E_F): 3.601 states/eV/atom
- Calculated density: 3.0 g/cm3

Lattice parameters (Å, degrees): 5.646 5.646 5.646 90.00 90.00 90.00
Space group Pm-3m (No. 221)
Symmetry-distinct sites (fractional):
Na1 0.000 0.000 0.500 x3
Ti1 0.500 0.500 0.500 x1
Tl1 0.000 0.000 0.000 x1

---

Model two:
The following is a GGA-PBE calculation of a geometry-optimized Na3TiTl structure, from the Alexandria database.

Computed properties:
- DOS(E_F): 2.330 states/eV/atom
- Calculated density: 2.6 g/cm3

Lattice parameters (Å, degrees): 5.862 5.862 5.862 90.00 90.00 90.00
Space group Pm-3m (No. 221)
Symmetry-distinct sites (fractional):
Na1 0.000 0.000 0.500 x3
Ti1 0.000 0.000 0.000 x1
Tl1 0.500 0.500 0.500 x1

---

Most stable one: model two, least stable one: model one.

---

Model one:
The following is a GGA-PBE calculation of a geometry-optimized NaTiTl structure, from the Alexandria database.

Computed properties:
- DOS(E_F): 0.555 states/eV/atom
- Calculated density: 6.9 g/cm3

Lattice parameters (Å, degrees): 4.773 8.271 6.683 90.00 90.00 90.00
Space group Cmmm (No. 65)
Symmetry-distinct sites (fractional):
Na1 0.000 0.167 0.000 x4
Ti1 0.000 0.187 0.500 x4
Tl1 0.000 0.500 0.275 x4

---

Model two:
The following is a GGA-PBE calculation of a geometry-optimized NaTiTl structure, from the Alexandria database.

Computed properties:
- DOS(E_F): 0.122 states/eV/atom
- Calculated density: 5.9 g/cm3

Lattice parameters (Å, degrees): 6.781 6.781 6.781 90.00 90.00 90.00
Space group F-43m (No. 216)
Symmetry-distinct sites (fractional):
Na1 0.000 0.000 0.000 x4
Ti1 0.000 0.000 0.500 x4
Tl1 0.250 0.250 0.250 x4

---

Model three:
The following is a GGA-PBE calculation of a geometry-optimized NaTiTl structure, from the Alexandria database.

Computed properties:
- DOS(E_F): 0.687 states/eV/atom
- Calculated density: 6.7 g/cm3

Lattice parameters (Å, degrees): 3.187 18.532 4.621 90.00 90.00 90.00
Space group Cmcm (No. 63)
Symmetry-distinct sites (fractional):
Na1 0.000 0.201 0.250 x4
Ti1 0.000 0.026 0.250 x4
Tl1 0.000 0.389 0.250 x4

---

Model four:
The following is a GGA-PBE calculation of a geometry-optimized NaTiTl structure, from the Alexandria database.

Computed properties:
- DOS(E_F): 1.523 states/eV/atom
- Calculated density: 6.9 g/cm3

Lattice parameters (Å, degrees): 4.985 8.526 6.194 90.00 90.00 90.00
Space group Cmcm (No. 63)
Symmetry-distinct sites (fractional):
Na1 0.000 0.166 0.250 x4
Ti1 0.000 0.170 0.750 x4
Tl1 0.000 0.500 0.000 x4

---

Most stable one: model three, least stable one: model two.

---

Model one:
The following is a GGA-PBE calculation of a geometry-optimized NaTiTl structure, from the Alexandria database.

Computed properties:
- DOS(E_F): 0.843 states/eV/atom
- Calculated density: 6.3 g/cm3

Lattice parameters (Å, degrees): 3.331 4.262 20.424 90.00 90.00 90.00
Space group Immm (No. 71)
Symmetry-distinct sites (fractional):
Na1 0.000 0.000 0.200 x4
Ti1 0.000 0.500 0.000 x2
Ti2 0.000 0.500 0.500 x2
Tl1 0.000 0.000 0.381 x4

---

Model two:
The following is a GGA-PBE calculation of a geometry-optimized NaTiTl structure, from the Alexandria database.

Computed properties:
- DOS(E_F): 0.933 states/eV/atom
- Calculated density: 6.3 g/cm3

Lattice parameters (Å, degrees): 16.326 3.246 5.482 90.00 90.00 90.00
Space group Amm2 (No. 38)
Symmetry-distinct sites (fractional):
Na1 0.179 0.000 0.000 x4
Ti1 0.353 0.000 0.652 x4
Tl1 0.000 0.000 0.656 x2
Tl2 0.500 0.000 0.989 x2

---

Model three:
The following is a GGA-PBE calculation of a geometry-optimized NaTiTl structure, from the Alexandria database.

Computed properties:
- DOS(E_F): 0.624 states/eV/atom
- Calculated density: 6.8 g/cm3

Lattice parameters (Å, degrees): 4.996 3.273 8.508 90.00 104.24 90.00
Space group Pm (No. 6)
Symmetry-distinct sites (fractional):
Na1 0.000 0.000 0.000 x1
Na2 0.498 0.500 0.999 x1
Ti1 0.366 0.000 0.625 x1
Ti2 0.607 0.000 0.374 x1
Tl1 0.085 0.500 0.320 x1
Tl2 0.887 0.500 0.679 x1

---

Model four:
The following is a GGA-PBE calculation of a geometry-optimized NaTiTl structure, from the Alexandria database.

Computed properties:
- DOS(E_F): 1.319 states/eV/atom
- Calculated density: 6.2 g/cm3

Lattice parameters (Å, degrees): 12.245 3.155 8.115 90.00 109.02 90.00
Space group Cm (No. 8)
Symmetry-distinct sites (fractional):
Na1 0.000 0.000 0.000 x2
Na2 0.194 0.500 0.773 x2
Ti1 0.324 0.000 0.195 x2
Ti2 0.484 0.500 0.410 x2
Tl1 0.166 0.500 0.331 x2
Tl2 0.393 0.000 0.641 x2

---

Most stable one: model one, least stable one: model two.

---

Model one:
The following is a GGA-PBE calculation of a geometry-optimized NaTiTl structure, from the Alexandria database.

Computed properties:
- DOS(E_F): 0.955 states/eV/atom
- Calculated density: 6.3 g/cm3

Lattice parameters (Å, degrees): 3.315 3.558 12.239 90.00 90.00 90.00
Space group Pmmn (No. 59, origin choice 2)
Symmetry-distinct sites (fractional):
Na1 0.250 0.250 0.118 x2
Ti1 0.250 0.250 0.442 x2
Tl1 0.250 0.250 0.703 x2

---

Model two:
The following is a GGA-PBE calculation of a geometry-optimized NaTiTl structure, from the Alexandria database.

Computed properties:
- DOS(E_F): 0.646 states/eV/atom
- Calculated density: 4.8 g/cm3

Lattice parameters (Å, degrees): 5.390 5.390 6.523 90.00 90.00 90.00
Space group P4/nmm (No. 129, origin choice 2)
Symmetry-distinct sites (fractional):
Na1 0.250 0.250 0.124 x2
Ti1 0.250 0.250 0.601 x2
Tl1 0.250 0.750 0.500 x2

---

Model three:
The following is a GGA-PBE calculation of a geometry-optimized NaTiTl structure, from the Alexandria database.

Computed properties:
- DOS(E_F): 1.130 states/eV/atom
- Calculated density: 6.4 g/cm3

Lattice parameters (Å, degrees): 5.060 6.718 8.362 90.00 90.00 90.00
Space group Imma (No. 74)
Symmetry-distinct sites (fractional):
Na1 0.000 0.250 0.133 x4
Ti1 0.250 0.250 0.750 x4
Tl1 0.000 0.000 0.500 x4

---

Most stable one: model one, least stable one: model two.

---

Model one:
The following is a GGA-PBE calculation of a geometry-optimized NaTiTl structure, from the Alexandria database.

Computed properties:
- DOS(E_F): 0.558 states/eV/atom
- Calculated density: 6.5 g/cm3

Lattice parameters (Å, degrees): 5.0515 5.0515 3.1751 90.00 90.00 120.00
Space group P-6m2 (No. 187)
Symmetry-distinct sites (fractional):
Na1 0.0000 0.0000 0.0000 x1
Ti1 0.6667 0.3333 0.5000 x1
Tl1 0.3333 0.6667 0.5000 x1

---

Model two:
The following is a GGA-PBE calculation of a geometry-optimized NaTiTl structure, from the Alexandria database.

Computed properties:
- DOS(E_F): 1.607 states/eV/atom
- Calculated density: 3.8 g/cm3

Lattice parameters (Å, degrees): 4.9650 4.9650 11.1567 90.00 90.00 120.00
Space group P6_3/mmc (No. 194)
Symmetry-distinct sites (fractional):
Na1 0.3333 0.6667 0.2500 x2
Ti1 0.0000 0.0000 0.0000 x2
Tl1 0.0000 0.0000 0.2500 x2

---

Most stable one: model one, least stable one: model two.

---

Model one:
The following is a GGA-PBE calculation of a geometry-optimized NaTiTl structure, from the Alexandria database.

Computed properties:
- DOS(E_F): 0.523 states/eV/atom
- Calculated density: 7.0 g/cm3

Lattice parameters (Å, degrees): 5.0474 5.0474 5.9141 90.00 90.00 120.00
Space group P6_3/mmc (No. 194)
Symmetry-distinct sites (fractional):
Na1 0.0000 0.0000 0.0000 x2
Ti1 0.3333 0.6667 0.2500 x2
Tl1 0.3333 0.6667 0.7500 x2

---

Model two:
The following is a GGA-PBE calculation of a geometry-optimized NaTiTl structure, from the Alexandria database.

Computed properties:
- DOS(E_F): 0.918 states/eV/atom
- Calculated density: 6.5 g/cm3

Lattice parameters (Å, degrees): 5.003 3.207 17.433 90.00 90.00 90.00
Space group Amm2 (No. 38)
Symmetry-distinct sites (fractional):
Na1 0.000 0.000 0.000 x2
Na2 0.500 0.000 0.442 x2
Ti1 0.500 0.000 0.145 x2
Ti2 0.500 0.000 0.772 x2
Tl1 0.000 0.000 0.320 x2
Tl2 0.000 0.000 0.654 x2

---

Most stable one: model two, least stable one: model one.

---

Model one:
The following is a GGA-PBE calculation of a geometry-optimized NaTiTl structure, from the Alexandria database.

Computed properties:
- DOS(E_F): 0.831 states/eV/atom
- Calculated density: 6.7 g/cm3

Lattice parameters (Å, degrees): 8.388 3.068 10.600 90.00 90.00 90.00
Space group Pnma (No. 62)
Symmetry-distinct sites (fractional):
Na1 0.158 0.250 0.079 x4
Ti1 0.057 0.250 0.399 x4
Tl1 0.153 0.250 0.786 x4

---

Model two:
The following is a GGA-PBE calculation of a geometry-optimized NaTiTl structure, from the Alexandria database.

Computed properties:
- DOS(E_F): 0.520 states/eV/atom
- Calculated density: 6.4 g/cm3

Lattice parameters (Å, degrees): 4.414 4.414 14.636 90.00 90.05 90.00
Space group C2/m (No. 12)
Symmetry-distinct sites (fractional):
Na1 0.249 0.000 0.109 x4
Ti1 0.250 0.000 0.439 x4
Tl1 0.249 0.500 0.282 x4

---

Most stable one: model two, least stable one: model one.

---

Model one:
The following is a GGA-PBE calculation of a geometry-optimized NaTi2Tl structure, from the Alexandria database.

Computed properties:
- DOS(E_F): 1.281 states/eV/atom
- Calculated density: 6.1 g/cm3

Lattice parameters (Å, degrees): 7.982 7.982 5.485 90.00 90.00 90.00
Space group I-42d (No. 122)
Symmetry-distinct sites (fractional):
Na1 0.000 0.000 0.000 x4
Ti1 0.235 0.750 0.625 x8
Tl1 0.000 0.000 0.500 x4

---

Model two:
The following is a GGA-PBE calculation of a geometry-optimized NaTi2Tl structure, from the Alexandria database.

Computed properties:
- DOS(E_F): 1.019 states/eV/atom
- Calculated density: 6.7 g/cm3

Lattice parameters (Å, degrees): 6.827 6.827 6.827 90.00 90.00 90.00
Space group Fm-3m (No. 225)
Symmetry-distinct sites (fractional):
Na1 0.000 0.000 0.000 x4
Ti1 0.250 0.250 0.250 x8
Tl1 0.000 0.000 0.500 x4

---

Most stable one: model two, least stable one: model one.

---

Model one:
The following is a GGA-PBE calculation of a geometry-optimized NaTiV2 structure, from the Alexandria database.

Computed properties:
- DOS(E_F): 1.634 states/eV/atom
- Calculated density: 4.1 g/cm3

Lattice parameters (Å, degrees): 6.547 6.547 6.547 90.00 90.00 90.00
Space group Fm-3m (No. 225)
Symmetry-distinct sites (fractional):
Na1 0.000 0.000 0.000 x4
Ti1 0.000 0.000 0.500 x4
V1 0.250 0.250 0.250 x8

---

Model two:
The following is a GGA-PBE calculation of a geometry-optimized NaTiV2 structure, from the Alexandria database.

Computed properties:
- DOS(E_F): 1.312 states/eV/atom
- Calculated density: 4.3 g/cm3

Lattice parameters (Å, degrees): 3.761 3.761 19.018 90.00 90.00 90.00
Space group I-42d (No. 122)
Symmetry-distinct sites (fractional):
Na1 0.000 0.000 0.000 x4
Ti1 0.000 0.000 0.500 x4
V1 0.225 0.250 0.625 x8

---

Most stable one: model one, least stable one: model two.

---

Model one:
The following is a GGA-PBE calculation of a geometry-optimized NaTiW2 structure, from the Alexandria database.

Computed properties:
- DOS(E_F): 0.703 states/eV/atom
- Calculated density: 10.0 g/cm3

Lattice parameters (Å, degrees): 3.836 3.836 19.766 90.00 90.00 90.00
Space group I-42d (No. 122)
Symmetry-distinct sites (fractional):
Na1 0.000 0.000 0.000 x4
Ti1 0.000 0.000 0.500 x4
W1 0.227 0.750 0.625 x8

---

Model two:
The following is a GGA-PBE calculation of a geometry-optimized NaTiW2 structure, from the Alexandria database.

Computed properties:
- DOS(E_F): 1.427 states/eV/atom
- Calculated density: 10.8 g/cm3

Lattice parameters (Å, degrees): 6.452 6.452 6.452 90.00 90.00 90.00
Space group Fm-3m (No. 225)
Symmetry-distinct sites (fractional):
Na1 0.000 0.000 0.000 x4
Ti1 0.000 0.000 0.500 x4
W1 0.250 0.250 0.250 x8

---

Most stable one: model one, least stable one: model two.

---

Model one:
The following is a GGA-PBE calculation of a geometry-optimized NaTi2W structure, from the Alexandria database.

Computed properties:
- DOS(E_F): 1.310 states/eV/atom
- Calculated density: 7.3 g/cm3

Lattice parameters (Å, degrees): 6.515 6.515 6.515 90.00 90.00 90.00
Space group Fm-3m (No. 225)
Symmetry-distinct sites (fractional):
Na1 0.000 0.000 0.000 x4
Ti1 0.250 0.250 0.250 x8
W1 0.000 0.000 0.500 x4

---

Model two:
The following is a GGA-PBE calculation of a geometry-optimized NaTi2W structure, from the Alexandria database.

Computed properties:
- DOS(E_F): 1.117 states/eV/atom
- Calculated density: 6.7 g/cm3

Lattice parameters (Å, degrees): 4.013 4.013 18.584 90.00 90.00 90.00
Space group I-42d (No. 122)
Symmetry-distinct sites (fractional):
Na1 0.000 0.000 0.000 x4
Ti1 0.223 0.250 0.625 x8
W1 0.000 0.000 0.500 x4

---

Most stable one: model one, least stable one: model two.